(1)
Density functional theory data (PBEsol) for a geometry-optimized V2SiPb5O12 structure.

a = 7.312 Å, b = 9.967 Å, c = 9.964 Å
α = 119.35°, β = 90.00°, γ = 90.00°
Atoms (fractional coordinates):
O (0.185, 0.340, 0.083)
O (0.821, 0.916, 0.264)
Pb (0.000, 0.252, 0.254)
O (0.815, 0.340, 0.083)
O (0.000, 0.502, 0.668)
Pb (0.753, 0.676, 0.345)
Pb (0.247, 0.676, 0.345)
O (0.000, 0.508, 0.400)
Pb (0.000, 0.770, 0.026)
O (0.180, 0.729, 0.638)
Pb (0.500, 0.749, 0.745)
Pb (0.000, 0.969, 0.738)
O (0.316, 0.085, 0.747)
V (0.500, 0.020, 0.628)
O (0.314, 0.261, 0.348)
O (0.000, 0.321, 0.823)
Pb (0.500, 0.249, 0.001)
Si (0.000, 0.982, 0.379)
O (0.820, 0.729, 0.638)
O (0.500, 0.820, 0.523)
V (0.500, 0.378, 0.395)
Pb (0.236, 0.334, 0.657)
O (0.000, 0.171, 0.483)
O (0.316, 0.662, 0.916)
V (0.500, 0.609, 0.985)
Pb (0.764, 0.334, 0.657)
O (0.500, 0.411, 0.908)
O (0.684, 0.085, 0.747)
O (0.179, 0.916, 0.264)
O (0.500, 0.709, 0.184)
O (0.686, 0.261, 0.348)
O (0.000, 0.598, 0.113)
Pb (0.500, 0.991, 0.250)
V (0.000, 0.397, 0.020)
Si (0.000, 0.614, 0.591)
O (0.500, 0.100, 0.508)
O (0.500, 0.494, 0.594)
O (0.684, 0.662, 0.916)
O (0.500, 0.481, 0.299)
O (0.000, 0.899, 0.488)

Computed properties:
final energy: -291.891 eV/cell
ΔE_f (raw): -1.897 eV/atom

(2)
Density functional theory data (PBEsol) for a geometry-optimized Sm2Pb2O7 structure.

a = 6.940 Å, b = 7.328 Å, c = 12.840 Å
α = 102.98°, β = 90.00°, γ = 90.00°
Atoms (fractional coordinates):
Sm (0.817, 0.705, 0.109)
O (0.478, 0.785, 0.229)
O (0.188, 0.008, 0.439)
O (0.522, 0.215, 0.771)
O (0.996, 0.327, 0.471)
Sm (0.595, 0.531, 0.850)
O (0.504, 0.327, 0.971)
Pb (0.415, 0.802, 0.394)
O (0.394, 0.406, 0.572)
O (0.578, 0.100, 0.421)
Sm (0.095, 0.469, 0.650)
Pb (0.585, 0.198, 0.606)
O (0.259, 0.553, 0.825)
Sm (0.683, 0.705, 0.609)
O (0.688, 0.992, 0.061)
Pb (0.613, 0.058, 0.890)
O (0.389, 0.200, 0.212)
Pb (0.915, 0.198, 0.106)
O (0.978, 0.215, 0.271)
O (0.111, 0.200, 0.712)
Sm (0.905, 0.531, 0.350)
O (0.922, 0.100, 0.921)
Sm (0.183, 0.295, 0.891)
Sm (0.405, 0.469, 0.150)
O (0.812, 0.992, 0.561)
O (0.759, 0.447, 0.675)
Pb (0.085, 0.802, 0.894)
O (0.496, 0.673, 0.029)
O (0.611, 0.800, 0.788)
O (0.894, 0.594, 0.928)
O (0.606, 0.594, 0.428)
Pb (0.887, 0.058, 0.390)
Sm (0.317, 0.295, 0.391)
O (0.422, 0.900, 0.579)
Pb (0.113, 0.942, 0.610)
O (0.004, 0.673, 0.529)
O (0.106, 0.406, 0.072)
Pb (0.387, 0.942, 0.110)
O (0.241, 0.553, 0.325)
O (0.741, 0.447, 0.175)
O (0.078, 0.900, 0.079)
O (0.022, 0.785, 0.729)
O (0.889, 0.800, 0.288)
O (0.312, 0.008, 0.939)

Computed properties:
final energy: -308.645 eV/cell
ΔE_f (raw): -2.021 eV/atom

(3)
Density functional theory data (PBEsol) for a geometry-optimized Sr2TlPbO structure.

a = 4.247 Å, b = 6.345 Å, c = 6.345 Å
α = 90.00°, β = 90.00°, γ = 90.00°
Atoms (fractional coordinates):
Tl (0.000, 0.000, 0.000)
Sr (0.000, 0.000, 0.500)
O (0.500, 0.000, 0.000)
Sr (0.000, 0.500, 0.000)
Pb (0.500, 0.500, 0.500)

Computed properties:
final energy: -16.238 eV/cell
ΔE_f (raw): -0.136 eV/atom

(4)
Density functional theory data (PBEsol) for a geometry-optimized Sr5ZnPb3O12 structure.

a = 3.525 Å, b = 10.176 Å, c = 10.176 Å
α = 120.00°, β = 90.00°, γ = 90.00°
Atoms (fractional coordinates):
O (0.489, 0.000, 0.817)
O (0.489, 0.183, 0.183)
Sr (0.490, 0.302, 0.000)
Sr (0.490, 0.000, 0.302)
O (0.489, 0.000, 0.535)
O (0.989, 0.761, 0.556)
Sr (0.489, 0.667, 0.333)
O (0.489, 0.465, 0.465)
O (0.989, 0.239, 0.795)
Pb (0.989, 0.000, 0.662)
O (0.489, 0.817, 0.000)
O (0.989, 0.556, 0.761)
Pb (0.989, 0.338, 0.338)
Sr (0.489, 0.333, 0.667)
O (0.989, 0.205, 0.444)
O (0.989, 0.795, 0.239)
O (0.489, 0.535, 0.000)
Zn (0.489, 0.000, 0.000)
O (0.989, 0.444, 0.205)
Pb (0.989, 0.662, 0.000)
Sr (0.490, 0.698, 0.698)

Computed properties:
final energy: -126.732 eV/cell
ΔE_f (raw): -1.951 eV/atom